Version A
# PBE Y4Tm5Th2, optimized geometry
data_Y4Tm5Th2
_chemical_formula_sum 'Y4 Tm5 Th2'
_space_group_name_H-M_alt 'P -1'
_space_group_IT_number 2
_cell_length_a 3.513
_cell_length_b 8.712
_cell_length_c 11.435
_cell_angle_alpha 89.61
_cell_angle_beta 81.85
_cell_angle_gamma 88.70
loop_
_space_group_symop_operation_xyz
'x,y,z'
'-x,-y,-z'
loop_
_atom_site_label
_atom_site_type_symbol
_atom_site_fract_x
_atom_site_fract_y
_atom_site_fract_z
Y1 Y 0.019 0.200 0.468
Y2 Y 0.202 0.267 0.172
Tm1 Tm 0.000 0.000 0.000
Tm2 Tm 0.410 0.078 0.723
Tm3 Tm 0.410 0.472 0.651
Th1 Th 0.208 0.639 0.092
# Mass density in kg/m³: 7979
# Magnetic moment in Bohr magnetons per cell: 0.00



Version B
# PBE Y4Tm5Th2, optimized geometry
data_Y4Tm5Th2
_chemical_formula_sum 'Y8 Tm10 Th4'
_space_group_name_H-M_alt 'I m m m'
_space_group_IT_number 71
_space_group_name_Hall '-I 2 2'
_cell_length_a 3.415
_cell_length_b 9.157
_cell_length_c 24.373
_cell_angle_alpha 90.00
_cell_angle_beta 90.00
_cell_angle_gamma 90.00
loop_
_atom_site_label
_atom_site_type_symbol
_atom_site_fract_x
_atom_site_fract_y
_atom_site_fract_z
Y1 Y 0.000 0.000 0.241
Y2 Y 0.000 0.314 0.000
Tm1 Tm 0.000 0.323 0.155
Tm2 Tm 0.000 0.500 0.500
Th1 Th 0.000 0.000 0.107
# Mass density in kg/m³: 7252
# Magnetic moment in Bohr magnetons per cell: 0.57



Taking the most stable structure as the zero point, the relative energies in meV/atom are version A 0; version B 460.



Version A
# PBE YTm6Th2, optimized geometry
data_YTm6Th2
_chemical_formula_sum 'Y1 Tm6 Th2'
_space_group_name_H-M_alt 'P -6 m 2'
_space_group_IT_number 187
_space_group_name_Hall 'P -6 2'
_cell_length_a 3.5410
_cell_length_b 3.5410
_cell_length_c 25.9779
_cell_angle_alpha 90.00
_cell_angle_beta 90.00
_cell_angle_gamma 120.00
loop_
_atom_site_label
_atom_site_type_symbol
_atom_site_fract_x
_atom_site_fract_y
_atom_site_fract_z
Y1 Y 0.0000 0.0000 0.0000
Tm1 Tm 0.0000 0.0000 0.2157
Tm2 Tm 0.0000 0.0000 0.4366
Tm3 Tm 0.3333 0.6667 0.1094
Th1 Th 0.3333 0.6667 0.3285
# Mass density in kg/m³: 9222
# Magnetic moment in Bohr magnetons per cell: 0.13



Version B
# PBE YTm6Th2, optimized geometry
data_YTm6Th2
_chemical_formula_sum 'Y2 Tm12 Th4'
_space_group_name_H-M_alt 'C 1 2/m 1'
_space_group_IT_number 12
_cell_length_a 11.702
_cell_length_b 5.574
_cell_length_c 8.808
_cell_angle_alpha 90.00
_cell_angle_beta 103.20
_cell_angle_gamma 90.00
loop_
_space_group_symop_operation_xyz
'x,y,z'
'-x,-y,-z'
'-x,y,-z'
'x,-y,z'
'x+1/2,y+1/2,z'
'-x+1/2,-y+1/2,-z'
'-x+1/2,y+1/2,-z'
'x+1/2,-y+1/2,z'
loop_
_atom_site_label
_atom_site_type_symbol
_atom_site_fract_x
_atom_site_fract_y
_atom_site_fract_z
Y1 Y 0.000 0.000 0.000
Tm1 Tm 0.122 0.000 0.621
Tm2 Tm 0.186 0.500 0.037
Tm3 Tm 0.237 0.000 0.304
Th1 Th 0.049 0.500 0.326
# Mass density in kg/m³: 9302
# Magnetic moment in Bohr magnetons per cell: 0.00



Taking the most stable structure as the zero point, the relative energies in meV/atom are version A 0; version B 27.



Version A
# PBE Y5Tm4Th, optimized geometry
data_Y5Tm4Th
_chemical_formula_sum 'Y10 Tm8 Th2'
_space_group_name_H-M_alt 'I 4'
_space_group_IT_number 79
_cell_length_a 10.137
_cell_length_b 10.137
_cell_length_c 6.363
_cell_angle_alpha 90.00
_cell_angle_beta 90.00
_cell_angle_gamma 90.00
loop_
_space_group_symop_operation_xyz
'x,y,z'
'-y,x,z'
'-x,-y,z'
'y,-x,z'
'x+1/2,y+1/2,z+1/2'
'-y+1/2,x+1/2,z+1/2'
'-x+1/2,-y+1/2,z+1/2'
'y+1/2,-x+1/2,z+1/2'
loop_
_atom_site_label
_atom_site_type_symbol
_atom_site_fract_x
_atom_site_fract_y
_atom_site_fract_z
Y1 Y 0.000 0.000 0.000
Y2 Y 0.144 0.236 0.737
Tm1 Tm 0.052 0.349 0.239
Th1 Th 0.000 0.000 0.463
# Mass density in kg/m³: 6869
# Magnetic moment in Bohr magnetons per cell: 0.00



Version B
# PBE Y5Tm4Th, optimized geometry
data_Y5Tm4Th
_chemical_formula_sum 'Y10 Tm8 Th2'
_space_group_name_H-M_alt 'C 1 2/m 1'
_space_group_IT_number 12
_cell_length_a 16.666
_cell_length_b 3.516
_cell_length_c 11.381
_cell_angle_alpha 90.00
_cell_angle_beta 108.67
_cell_angle_gamma 90.00
loop_
_space_group_symop_operation_xyz
'x,y,z'
'-x,-y,-z'
'-x,y,-z'
'x,-y,z'
'x+1/2,y+1/2,z'
'-x+1/2,-y+1/2,-z'
'-x+1/2,y+1/2,-z'
'x+1/2,-y+1/2,z'
loop_
_atom_site_label
_atom_site_type_symbol
_atom_site_fract_x
_atom_site_fract_y
_atom_site_fract_z
Y1 Y 0.000 0.000 0.000
Y2 Y 0.191 0.500 0.080
Y3 Y 0.206 0.500 0.617
Tm1 Tm 0.083 0.500 0.296
Tm2 Tm 0.105 0.000 0.799
Th1 Th 0.000 0.000 0.500
# Mass density in kg/m³: 7109
# Magnetic moment in Bohr magnetons per cell: 0.00



Taking the most stable structure as the zero point, the relative energies in meV/atom are version A 307; version B 0.



Version A
# PBE YTm6Th4, optimized geometry
data_YTm6Th4
_chemical_formula_sum 'Y2 Tm12 Th8'
_space_group_name_H-M_alt 'I m m m'
_space_group_IT_number 71
_space_group_name_Hall '-I 2 2'
_cell_length_a 3.404
_cell_length_b 5.795
_cell_length_c 35.513
_cell_angle_alpha 90.00
_cell_angle_beta 90.00
_cell_angle_gamma 90.00
loop_
_atom_site_label
_atom_site_type_symbol
_atom_site_fract_x
_atom_site_fract_y
_atom_site_fract_z
Y1 Y 0.000 0.000 0.000
Tm1 Tm 0.000 0.500 0.131
Tm2 Tm 0.000 0.500 0.233
Tm3 Tm 0.000 0.500 0.404
Th1 Th 0.000 0.000 0.182
Th2 Th 0.000 0.000 0.456
# Mass density in kg/m³: 9627
# Magnetic moment in Bohr magnetons per cell: 0.00



Version B
# PBE YTm6Th4, optimized geometry
data_YTm6Th4
_chemical_formula_sum 'Y2 Tm12 Th8'
_space_group_name_H-M_alt 'I -4 2 m'
_space_group_IT_number 121
_space_group_name_Hall 'I -4 2'
_cell_length_a 7.837
_cell_length_b 7.837
_cell_length_c 12.821
_cell_angle_alpha 90.00
_cell_angle_beta 90.00
_cell_angle_gamma 90.00
loop_
_atom_site_label
_atom_site_type_symbol
_atom_site_fract_x
_atom_site_fract_y
_atom_site_fract_z
Y1 Y 0.000 0.000 0.000
Tm1 Tm 0.000 0.500 0.000
Tm2 Tm 0.245 0.245 0.679
Th1 Th 0.167 0.167 0.425
# Mass density in kg/m³: 8565
# Magnetic moment in Bohr magnetons per cell: 0.00



Taking the most stable structure as the zero point, the relative energies in meV/atom are version A 0; version B 361.



Version A
# PBE YTm5Th4, optimized geometry
data_YTm5Th4
_chemical_formula_sum 'Y1 Tm5 Th4'
_space_group_name_H-M_alt 'P -1'
_space_group_IT_number 2
_cell_length_a 3.450
_cell_length_b 9.071
_cell_length_c 10.645
_cell_angle_alpha 95.09
_cell_angle_beta 90.06
_cell_angle_gamma 100.88
loop_
_space_group_symop_operation_xyz
'x,y,z'
'-x,-y,-z'
loop_
_atom_site_label
_atom_site_type_symbol
_atom_site_fract_x
_atom_site_fract_y
_atom_site_fract_z
Y1 Y 0.000 0.000 0.000
Tm1 Tm 0.000 0.000 0.500
Tm2 Tm 0.312 0.624 0.409
Tm3 Tm 0.349 0.701 0.757
Th1 Th 0.184 0.366 0.914
Th2 Th 0.461 0.923 0.249
# Mass density in kg/m³: 9489
# Magnetic moment in Bohr magnetons per cell: 0.00



Version B
# PBE YTm5Th4, optimized geometry
data_YTm5Th4
_chemical_formula_sum 'Y1 Tm5 Th4'
_space_group_name_H-M_alt 'P 4/m m m'
_space_group_IT_number 123
_space_group_name_Hall '-P 4 2'
_cell_length_a 3.535
_cell_length_b 3.535
_cell_length_c 25.020
_cell_angle_alpha 90.00
_cell_angle_beta 90.00
_cell_angle_gamma 90.00
loop_
_atom_site_label
_atom_site_type_symbol
_atom_site_fract_x
_atom_site_fract_y
_atom_site_fract_z
Y1 Y 0.000 0.000 0.000
Tm1 Tm 0.500 0.500 0.102
Tm2 Tm 0.500 0.500 0.300
Tm3 Tm 0.500 0.500 0.500
Th1 Th 0.000 0.000 0.200
Th2 Th 0.000 0.000 0.400
# Mass density in kg/m³: 9888
# Magnetic moment in Bohr magnetons per cell: 0.00



Taking the most stable structure as the zero point, the relative energies in meV/atom are version A 206; version B 0.